PBE-GGA Ta6IrRh5, optimized geometry; energy of formation from the pure elements = -504 meV per atom; total energy = -10.232 eV per atom; V = 191.8 Å³/f.u.; density = 15.52 g cm⁻³
1.0
-1.499 -2.239 3.025
-0.229 -4.412 -6.092
7.178 1.326 1.827
Rh Ta Ir
5 6 1
Cartesian
2.240 -2.499 -3.452
2.725 -2.663 -0.620
0.261 -4.571 -3.253
5.189 -0.754 2.014
4.709 -0.587 -0.813
2.854 -4.949 -2.248
5.321 -3.039 0.388
2.596 -0.376 1.009
0.129 -2.287 -1.628
0.610 -2.449 1.203
4.840 -2.877 -2.443
0.000 0.000 0.000